Entry 1:
Material: Li2DyAlSn2
Method: DFT, PBE-GGA
State: relaxed

Final energy, eV per cell: -45.551
Total magnetic moment, μB per cell: 0.00

POSCAR file:
```
Li2DyAlSn2
1.0
-4.1156 -0.0707 -1.6326
-0.8221 -6.8993 2.3714
-2.9742 2.8885 7.3728
Al Sn Li Dy
2 4 4 2
direct
0.5000 0.6625 0.3231
0.5000 0.1625 0.6769
0.0000 0.7429 0.1469
0.0000 0.2429 0.8531
0.5000 0.2725 0.3536
0.5000 0.7725 0.6464
0.0000 0.8545 0.8342
0.0000 0.3545 0.1658
0.5000 0.5255 0.9191
0.5000 0.0255 0.0809
0.0000 0.9877 0.4474
0.0000 0.4877 0.5526
```


Entry 2:
Material: PmSmZnSn
Method: DFT, PBE-GGA
State: relaxed

Final energy, eV per cell: -16.828
Total magnetic moment, μB per cell: 0.00

POSCAR file:
```
PmSmZnSn
1.0
-0.0491 -1.8066 -4.9826
-0.8833 -5.1396 -0.9468
-4.5618 -1.5408 -2.2154
Sn Pm Sm Zn
1 1 1 1
direct
0.2500 0.2500 0.2500
0.5000 0.5000 0.5000
0.0000 0.0000 0.0000
0.7500 0.7500 0.7500
```